# TcNi2Ir

A geometry-optimized TcNi2Ir structure (GGA-PBE, Alexandria).

The total magnetization comes out at 0.00 μB/f.u. For the formation energy, the calculation gives 0.10 eV per atom. Its density of states at the Fermi level is 19.57 states/eV/cell. For the density, the calculation gives 12.875 Mg/m³.

The structure belongs to space group C2 (No. 5); the cell edges are 6.3292, 6.8693 and 4.9184 Å and the angles 90.00°, 100.46° and 90.00°. The distinct sites, in fractional coordinates, are Tc at (0.2019, 0.0000, 0.1856), Ni at (0.1156, 0.6434, 0.2387), Ni at (0.1556, 0.8625, 0.6752), Ir at (0.0000, 0.2226, 0.5000) and Ir at (0.0000, 0.3192, 0.0000).